Arrangement i

A plane-wave DFT calculation with PBE-GGA was carried out for K7Au2O after structural relaxation.

The structure in POSCAR format:
```
K7Au2O
1.0
-3.5955 -7.4272 6.1465
3.9540 -2.0435 8.4558
-5.0170 3.6057 10.0343
K Au O
14 4 2
Cartesian
-5.1205 -4.5796 16.8100 K
-0.1757 -0.7869 12.0911 K
-4.5490 -4.6762 20.8449 K
-1.3474 -5.0863 5.7576 K
-0.1095 -1.1888 3.7917 K
-3.8159 1.9682 8.2609 K
-2.6315 -2.5942 9.2305 K
-3.3111 -0.7787 18.8790 K
0.4620 -1.2854 7.8267 K
-4.4828 -5.0781 12.5456 K
-0.8426 -7.8332 16.3758 K
-2.0270 -3.2708 15.4062 K
-4.6493 -1.6798 12.8450 K
-0.0093 -4.1852 11.7917 K
-3.1273 0.1075 15.5295 Au
-1.5312 -5.9725 9.1072 Au
-2.0646 -5.1953 18.3555 Au
-2.5939 -0.6697 6.2812 Au
-5.5819 -3.6064 14.4394 O
0.9234 -2.2586 10.1973 O
```

Its space group is No. 15. The theoretical density comes out at 2.8 g/cm³.

---

Arrangement ii

A plane-wave DFT calculation with PBE-GGA was carried out for K7Au2O after structural relaxation.

The structure in POSCAR format:
```
K7Au2O
1.0
8.5613 0.0000 0.0000
4.2807 7.4143 0.0000
4.2807 2.4714 6.9903
Au K O
2 7 1
Cartesian
4.2807 2.4714 1.7476 Au
12.8420 7.4143 5.2427 Au
8.5613 4.9429 3.4952 K
6.0913 3.5168 5.5119 K
11.0314 6.3690 1.4784 K
11.0314 3.5168 5.5119 K
6.0913 6.3690 1.4784 K
8.5613 2.0908 1.4784 K
8.5613 7.7950 5.5119 K
0.0000 0.0000 0.0000 O
```

Its space group is No. 225. The theoretical density comes out at 2.6 g/cm³.

---

Most stable structure: arrangement i

---

Arrangement i

A plane-wave DFT calculation with PBE-GGA was carried out for K4AuO after structural relaxation.

The structure in POSCAR format:
```
K4AuO
1.0
6.8838 -0.3506 0.0000
-0.8972 6.8340 0.0000
0.0000 0.0000 10.8120
Au K O
2 8 2
Cartesian
2.3379 2.5319 8.1090 Au
3.6486 3.9515 2.7030 Au
4.3210 4.6797 10.1101 K
5.7291 1.2952 8.1090 K
4.3210 4.6797 6.1080 K
5.1513 0.6694 2.7030 K
0.8352 5.8140 8.1090 K
0.2574 5.1882 2.7030 K
1.6655 1.8038 0.7020 K
1.6655 1.8038 4.7041 K
0.7056 0.7641 2.7030 O
5.2809 5.7193 8.1090 O
```

Its space group is No. 63. The theoretical density comes out at 2.4 g/cm³.

---

Arrangement ii

A plane-wave DFT calculation with PBE-GGA was carried out for K4AuO after structural relaxation.

The structure in POSCAR format:
```
K4AuO
1.0
7.1151 0.0000 0.0000
0.0000 7.1151 0.0000
0.0000 0.0000 8.4613
K O Au
8 2 2
Cartesian
0.0000 0.0000 2.5988 K
4.8494 1.2919 0.0000 K
2.2657 5.8232 0.0000 K
3.5575 3.5575 2.5988 K
1.2919 2.2657 0.0000 K
0.0000 0.0000 5.8625 K
3.5575 3.5575 5.8625 K
5.8232 4.8494 0.0000 K
0.0000 0.0000 0.0000 O
3.5575 3.5575 0.0000 O
3.5575 0.0000 4.2306 Au
0.0000 3.5575 4.2306 Au
```

Its space group is No. 127. The theoretical density comes out at 2.9 g/cm³.

---

Most stable structure: arrangement i

---

Arrangement i

A plane-wave DFT calculation with PBE-GGA was carried out for KSr2AuO after structural relaxation.

The structure in POSCAR format:
```
KSr2AuO
1.0
-4.2652 1.1615 -4.3122
2.8791 -1.1188 -3.1490
-1.9229 -5.8595 0.3237
Sr Au K O
2 1 1 1
Cartesian
-0.9614 -2.9297 0.1618 Sr
-2.1326 0.5807 -2.1561 Sr
-1.6545 -2.9084 -3.5687 Au
0.0000 0.0000 0.0000 K
1.4395 -0.5594 -1.5745 O
```

Its space group is No. 123. The theoretical density comes out at 4.2 g/cm³.

---

Arrangement ii

A plane-wave DFT calculation with PBE-GGA was carried out for KSr2AuO after structural relaxation.

The structure in POSCAR format:
```
KSr2AuO
1.0
-1.2377 -0.2196 -4.9313
4.9154 -0.5215 -1.2105
-0.4700 -5.2457 0.3515
Au O K Sr
1 1 1 2
Cartesian
1.6038 -2.9934 -2.8952 Au
0.0000 0.0000 0.0000 O
-0.2350 -2.6228 0.1758 K
2.4577 -0.2608 -0.6053 Sr
-0.6189 -0.1098 -2.4657 Sr
```

Its space group is No. 123. The theoretical density comes out at 5.2 g/cm³.

---

Most stable structure: arrangement ii

---

Arrangement i

A plane-wave DFT calculation with PBE-GGA was carried out for KOs3Au after structural relaxation.

The structure in POSCAR format:
```
KOs3Au
1.0
4.5771 0.0000 0.0000
0.0000 4.5771 0.0000
0.0000 0.0000 4.5771
Os Au K
3 1 1
Cartesian
2.2886 0.0000 0.0000 Os
0.0000 0.0000 2.2886 Os
0.0000 2.2886 0.0000 Os
2.2886 2.2886 2.2886 Au
0.0000 0.0000 0.0000 K
```

Its space group is No. 221. The theoretical density comes out at 14.0 g/cm³.

---

Arrangement ii

A plane-wave DFT calculation with PBE-GGA was carried out for KOs3Au after structural relaxation.

The structure in POSCAR format:
```
KOs3Au
1.0
5.0578 0.0000 0.0000
0.0000 5.0578 0.0000
0.0000 0.0000 5.0578
Os Au K
3 1 1
Cartesian
0.0000 0.0000 2.5289 Os
0.0000 2.5289 0.0000 Os
2.5289 0.0000 0.0000 Os
0.0000 0.0000 0.0000 Au
2.5289 2.5289 2.5289 K
```

Its space group is No. 221. The theoretical density comes out at 10.4 g/cm³.

---

Most stable structure: arrangement ii

---

Arrangement i

A plane-wave DFT calculation with PBE-GGA was carried out for KOsAu after structural relaxation.

The structure in POSCAR format:
```
KOsAu
1.0
6.4989 -0.0110 0.0000
4.5664 4.6242 0.0000
-5.5326 -2.3066 2.5110
Au Os K
1 1 1
Cartesian
0.5860 0.2443 0.0000 Au
6.7704 2.8227 0.0000 Os
3.7089 1.5463 0.0000 K
```

Its space group is No. 107. The theoretical density comes out at 9.4 g/cm³.

---

Arrangement ii

A plane-wave DFT calculation with PBE-GGA was carried out for KOsAu after structural relaxation.

The structure in POSCAR format:
```
KOsAu
1.0
-3.5359 0.6697 5.3669
-1.4250 -4.1303 4.7608
3.8603 3.5647 -3.7611
K Au Os
1 1 1
Cartesian
-1.6525 -1.1528 3.3736 K
-0.2995 -0.2089 0.6114 Au
-3.0089 -2.0990 6.1427 Os
```

Its space group is No. 44. The theoretical density comes out at 9.8 g/cm³.

---

Most stable structure: arrangement ii

---

Arrangement i

A plane-wave DFT calculation with PBE-GGA was carried out for KOsAu2 after structural relaxation.

The structure in POSCAR format:
```
KOsAu2
1.0
-4.2530 1.0930 1.6903
-4.0409 -1.6369 1.7696
2.1631 0.3666 6.8422
Au Os K
2 1 1
Cartesian
-3.3152 -0.1204 4.7238 Au
-8.0440 -0.5120 3.8871 Au
-1.5327 -0.0443 2.5755 Os
-4.5981 -0.1329 7.7265 K
```

Its space group is No. 12. The theoretical density comes out at 11.7 g/cm³.

---

Arrangement ii

A plane-wave DFT calculation with PBE-GGA was carried out for KOsAu2 after structural relaxation.

The structure in POSCAR format:
```
KOsAu2
1.0
7.1540 0.3813 -0.5615
6.5050 3.0016 -0.5615
0.3949 0.0978 4.7687
Au Os K
2 1 1
Cartesian
12.6420 3.1311 -0.4412 Au
10.7968 2.6741 2.1205 Au
3.4856 0.8633 0.3216 Os
7.8153 1.9356 2.3447 K
```

Its space group is No. 8. The theoretical density comes out at 11.3 g/cm³.

---

Most stable structure: arrangement ii

---

Arrangement i

A plane-wave DFT calculation with PBE-GGA was carried out for KOsAu3 after structural relaxation.

The structure in POSCAR format:
```
KOsAu3
1.0
-2.7649 1.0523 -4.3701
0.4781 -5.0326 -1.5144
-4.4695 -1.1894 2.5414
Au Os K
3 1 1
Cartesian
0.2391 -2.5163 -0.7572 Au
-2.2347 -0.5947 1.2707 Au
-1.3824 0.5262 -2.1850 Au
-3.3781 -2.5848 -1.6715 Os
0.0000 0.0000 0.0000 K
```

Its space group is No. 221. The theoretical density comes out at 9.3 g/cm³.

---

Arrangement ii

A plane-wave DFT calculation with PBE-GGA was carried out for KOsAu3 after structural relaxation.

The structure in POSCAR format:
```
KOsAu3
1.0
5.1424 0.0000 0.0000
0.0000 5.1424 0.0000
0.0000 0.0000 5.1424
Au Os K
3 1 1
Cartesian
2.5712 0.0000 0.0000 Au
0.0000 2.5712 0.0000 Au
0.0000 0.0000 2.5712 Au
0.0000 0.0000 0.0000 Os
2.5712 2.5712 2.5712 K
```

Its space group is No. 221. The theoretical density comes out at 10.0 g/cm³.

---

Most stable structure: arrangement ii

---

Arrangement i

A plane-wave DFT calculation with PBE-GGA was carried out for K2PAu2 after structural relaxation.

The structure in POSCAR format:
```
K2PAu2
1.0
-1.9070 1.9070 10.0289
1.9070 -1.9070 10.0289
1.9070 1.9070 -10.0289
K Au P
2 2 1
Cartesian
0.0000 0.0000 8.0204 K
0.0000 0.0000 12.0375 K
1.9070 0.0000 5.0145 Au
0.0000 1.9070 5.0145 Au
0.0000 0.0000 0.0000 P
```

Its space group is No. 139. The theoretical density comes out at 5.7 g/cm³.

---

Arrangement ii

A plane-wave DFT calculation with PBE-GGA was carried out for K2PAu2 after structural relaxation.

The structure in POSCAR format:
```
K2PAu2
1.0
6.9006 0.0000 0.0000
0.0000 6.9006 0.0000
0.0000 0.0000 5.3291
Au P K
4 2 4
Cartesian
5.8401 4.5109 0.0000 Au
1.0606 2.3897 0.0000 Au
4.5109 1.0606 0.0000 Au
2.3897 5.8401 0.0000 Au
3.4503 3.4503 0.0000 P
0.0000 0.0000 0.0000 P
5.7156 2.2653 2.6645 K
4.6353 5.7156 2.6645 K
2.2653 1.1850 2.6645 K
1.1850 4.6353 2.6645 K
```

Its space group is No. 127. The theoretical density comes out at 6.6 g/cm³.

---

Most stable structure: arrangement ii

---

Arrangement i

A plane-wave DFT calculation with PBE-GGA was carried out for KPAuS2 after structural relaxation.

The structure in POSCAR format:
```
KPAuS2
1.0
-4.4549 2.0199 -1.7556
-1.6291 -4.7516 -1.3331
-1.8919 -0.5279 4.1933
P S Au K
1 2 1 1
Cartesian
-0.9459 -0.2639 2.0967 P
-0.8145 -2.3758 -0.6666 S
-2.2275 1.0100 -0.8778 S
0.0000 0.0000 0.0000 Au
-3.9879 -1.6298 0.5523 K
```

Its space group is No. 123. The theoretical density comes out at 4.4 g/cm³.

---

Arrangement ii

A plane-wave DFT calculation with PBE-GGA was carried out for KPAuS2 after structural relaxation.

The structure in POSCAR format:
```
KPAuS2
1.0
-3.5063 4.0790 1.9783
1.2039 -1.5734 5.3778
4.6418 3.9356 0.1123
S P K Au
2 1 1 1
Cartesian
0.6019 -0.7867 2.6889 S
-1.7531 2.0395 0.9892 S
2.3209 1.9678 0.0562 P
0.0000 0.0000 0.0000 K
1.1697 3.2206 3.7342 Au
```

Its space group is No. 123. The theoretical density comes out at 2.8 g/cm³.

---

Most stable structure: arrangement i

---

Arrangement i

A plane-wave DFT calculation with PBE-GGA was carried out for KP2AuS after structural relaxation.

The structure in POSCAR format:
```
KP2AuS
1.0
-2.3708 -4.8943 0.0732
4.6541 -2.2792 -1.6507
1.4812 -0.6418 5.0622
P S K Au
2 1 1 1
Cartesian
2.3270 -1.1396 -0.8253 P
-1.1854 -2.4471 0.0366 P
0.7406 -0.3209 2.5311 S
0.0000 0.0000 0.0000 K
1.8822 -3.9076 1.7424 Au
```

Its space group is No. 123. The theoretical density comes out at 3.5 g/cm³.

---

Arrangement ii

A plane-wave DFT calculation with PBE-GGA was carried out for KP2AuS after structural relaxation.

The structure in POSCAR format:
```
KP2AuS
1.0
-2.8642 -2.4896 -3.0438
1.1447 -4.1305 2.3012
-4.1184 0.6992 3.3036
K S P Au
1 1 2 1
Cartesian
-2.9190 -2.9605 1.2805 K
-2.0592 0.3496 1.6518 S
0.5723 -2.0653 1.1506 P
-1.4321 -1.2448 -1.5219 P
0.0000 0.0000 0.0000 Au
```

Its space group is No. 123. The theoretical density comes out at 4.3 g/cm³.

---

Most stable structure: arrangement ii

---

Arrangement i

A plane-wave DFT calculation with PBE-GGA was carried out for KPaAu2 after structural relaxation.

The structure in POSCAR format:
```
KPaAu2
1.0
4.0416 0.0000 0.0000
2.0208 3.5001 0.0000
2.0208 1.1667 8.6899
Au Pa K
2 1 1
Cartesian
2.0208 1.1667 1.7211 Au
6.0624 3.5001 6.9688 Au
0.0000 0.0000 0.0000 Pa
4.0416 2.3334 4.3449 K
```

Its space group is No. 166. The theoretical density comes out at 9.0 g/cm³.

---

Arrangement ii

A plane-wave DFT calculation with PBE-GGA was carried out for KPaAu2 after structural relaxation.

The structure in POSCAR format:
```
KPaAu2
1.0
3.6484 0.0000 0.0000
0.0000 3.6484 0.0000
0.0000 0.0000 8.3253
K Au Pa
1 2 1
Cartesian
1.8242 1.8242 4.1626 K
0.0000 0.0000 1.6378 Au
0.0000 0.0000 6.6875 Au
1.8242 1.8242 0.0000 Pa
```

Its space group is No. 123. The theoretical density comes out at 10.0 g/cm³.

---

Most stable structure: arrangement ii

---

Arrangement i

A plane-wave DFT calculation with PBE-GGA was carried out for K3Pb4Au2 after structural relaxation.

The structure in POSCAR format:
```
K3Pb4Au2
1.0
-1.1000 3.4945 3.0185
3.6660 -0.8857 6.1209
9.6145 5.5308 0.8085
Pb Au K
4 2 3
Cartesian
5.0705 1.7963 3.5071 Pb
1.7650 1.2136 2.9905 Pb
7.1100 6.3433 6.4407 Pb
10.4155 6.9260 6.9573 Pb
9.1720 5.0907 4.9035 Au
3.0085 3.0488 5.0443 Au
6.5662 2.6799 6.7537 K
5.6143 5.4596 3.1941 K
0.0000 0.0000 0.0000 K
```

Its space group is No. 2. The theoretical density comes out at 6.9 g/cm³.

---

Arrangement ii

A plane-wave DFT calculation with PBE-GGA was carried out for K3Pb4Au2 after structural relaxation.

The structure in POSCAR format:
```
K3Pb4Au2
1.0
-2.0128 3.1548 3.3091
-3.7080 -5.5283 -0.7555
7.5295 -1.8586 6.3519
K Au Pb
3 2 4
Cartesian
1.9002 -1.0931 5.9685 K
-0.0915 -3.1390 2.9370 K
0.0000 0.0000 0.0000 K
0.1398 0.4052 3.4693 Au
1.6688 -4.6373 5.4362 Au
-2.5793 -0.5259 2.7030 Pb
4.3879 -3.7062 6.2025 Pb
2.5211 -0.6847 2.1863 Pb
-0.7124 -3.5474 6.7193 Pb
```

Its space group is No. 12. The theoretical density comes out at 7.7 g/cm³.

---

Most stable structure: arrangement ii